Record 1
# GGA-PBE Tm5Pt2Pb, optimized geometry
data_Tm5Pt2Pb
_cell_length_a 7.747
_cell_length_b 7.747
_cell_length_c 13.431
_cell_angle_alpha 90.00
_cell_angle_beta 90.00
_cell_angle_gamma 90.00
_space_group_name_H-M_alt 'I 4/m c m'
_space_group_IT_number 140
_space_group_name_Hall '-I 4 2c'
loop_
_atom_site_label
_atom_site_fract_x
_atom_site_fract_y
_atom_site_fract_z
_atom_site_occupancy
Tm1 0.000 0.000 0.000 1
Tm2 0.157 0.343 0.137 1
Pt1 0.138 0.362 0.500 1
Pb1 0.000 0.000 0.250 1
# Formation energy from the elements in meV per atom: -882
# Uncorrected energy in eV/cell: -180.81
# M_tot in μB per formula unit: 0.000

Record 2
# GGA-PBE Cu3PtF, optimized geometry
data_Cu3PtF
_cell_length_a 4.052
_cell_length_b 4.052
_cell_length_c 4.052
_cell_angle_alpha 90.00
_cell_angle_beta 90.00
_cell_angle_gamma 90.00
_space_group_name_H-M_alt 'P m -3 m'
_space_group_IT_number 221
_space_group_name_Hall '-P 4 2 3'
loop_
_atom_site_label
_atom_site_fract_x
_atom_site_fract_y
_atom_site_fract_z
_atom_site_occupancy
Cu1 0.000 0.000 0.500 1
Pt1 0.500 0.500 0.500 1
F1 0.000 0.000 0.000 1
# Uncorrected formation energy in eV per atom: 0.044
# Energy relative to the lowest polymorph listed for this composition in meV/atom: 0
# Uncorrected energy in eV/cell: -19.98
# M_tot in μB per formula unit: 0.000

Record 3
# GGA-PBE DyTm2Rh, optimized geometry
data_DyTm2Rh
_cell_length_a 7.120
_cell_length_b 9.282
_cell_length_c 6.278
_cell_angle_alpha 90.00
_cell_angle_beta 90.00
_cell_angle_gamma 90.00
_space_group_name_H-M_alt 'P n m a'
_space_group_IT_number 62
_space_group_name_Hall '-P 2ac 2n'
loop_
_atom_site_label
_atom_site_fract_x
_atom_site_fract_y
_atom_site_fract_z
_atom_site_occupancy
Dy1 0.034 0.250 0.134 1
Tm1 0.177 0.063 0.672 1
Rh1 0.116 0.750 0.444 1
# Energy relative to the lowest polymorph listed for this composition in meV/atom: 0
# Formation energy from the elements in meV per atom: -557
# Uncorrected energy in eV/cell: -92.50
# M_tot in μB per formula unit: 0.000

Record 4
# GGA-PBE Ac3Ir, optimized geometry
data_Ac3Ir
_cell_length_a 7.971
_cell_length_b 7.971
_cell_length_c 7.971
_cell_angle_alpha 90.00
_cell_angle_beta 90.00
_cell_angle_gamma 90.00
_space_group_name_H-M_alt 'F m -3 m'
_space_group_IT_number 225
_space_group_name_Hall '-F 4 2 3'
loop_
_atom_site_label
_atom_site_fract_x
_atom_site_fract_y
_atom_site_fract_z
_atom_site_occupancy
Ac1 0.000 0.000 0.000 1
Ac2 0.250 0.250 0.250 1
Ir1 0.000 0.000 0.500 1
# Energy relative to the lowest polymorph listed for this composition in meV/atom: 642
# Formation energy from the elements in meV per atom: 244
# Uncorrected energy in eV/cell: -80.84
# M_tot in μB per formula unit: 0.000

Record 5
# GGA-PBE Ta3W5, optimized geometry
data_Ta3W5
_cell_length_a 10.397
_cell_length_b 10.397
_cell_length_c 5.149
_cell_angle_alpha 90.00
_cell_angle_beta 90.00
_cell_angle_gamma 90.00
_space_group_name_H-M_alt 'I 4/m c m'
_space_group_IT_number 140
_space_group_name_Hall '-I 4 2c'
loop_
_atom_site_label
_atom_site_fract_x
_atom_site_fract_y
_atom_site_fract_z
_atom_site_occupancy
Ta1 0.000 0.000 0.250 1
Ta2 0.186 0.314 0.000 1
W1 0.000 0.500 0.250 1
W2 0.059 0.244 0.500 1
# Energy relative to the lowest polymorph listed for this composition in meV/atom: 434
# Formation energy from the elements in meV per atom: 319
# Uncorrected energy in eV/cell: -391.10
# M_tot in μB per formula unit: 0.000

Record 6
# GGA-PBE La7Al2Tl2, optimized geometry
data_La7Al2Tl2
_cell_length_a 8.147
_cell_length_b 11.501
_cell_length_c 7.953
_cell_angle_alpha 90.00
_cell_angle_beta 90.00
_cell_angle_gamma 90.00
_space_group_name_H-M_alt 'C m m m'
_space_group_IT_number 65
_space_group_name_Hall '-C 2 2'
loop_
_atom_site_label
_atom_site_fract_x
_atom_site_fract_y
_atom_site_fract_z
_atom_site_occupancy
La1 0.000 0.000 0.000 1
La2 0.000 0.500 0.283 1
La3 0.250 0.250 0.310 1
Al1 0.159 0.000 0.500 1
Tl1 0.000 0.292 0.000 1
# Formation energy from the elements in meV per atom: -81
# Uncorrected energy in eV/cell: -95.21
# M_tot in μB per formula unit: 0.000